1.
## Rb2NpMn2Se4 (PBE)

Data for a relaxed Rb2NpMn2Se4 crystal.

## Properties
Uncorrected energy   -6.10 eV/atom
ρ   5.399 Mg/m³

Cell lengths 15.613, 4.238, 8.209 Å; angles 90.00, 109.26, 90.00 degrees
Space group C2/m (No. 12)
One atom of each set of equivalent atoms:
1 Rb 0.132 0.000 0.054 (multiplicity 4)
2 Np 0.000 0.000 0.500 (multiplicity 2)
3 Mn 0.181 0.500 0.486 (multiplicity 4)
4 Se 0.023 0.500 0.271 (multiplicity 4)
5 Se 0.200 0.000 0.670 (multiplicity 4)

=====

2.
## RbNpMn2Se4 (PBE)

Data for a relaxed RbNpMn2Se4 crystal.

## Properties
Uncorrected energy   -6.15 eV/atom
ρ   5.223 Mg/m³

Cell lengths 6.945, 7.879, 8.695 Å; angles 90.00, 90.00, 90.00 degrees
Space group I222 (No. 23)
One atom of each set of equivalent atoms:
1 Rb 0.000 0.000 0.000 (multiplicity 2)
2 Np 0.000 0.000 0.500 (multiplicity 2)
3 Mn 0.000 0.500 0.116 (multiplicity 4)
4 Se 0.249 0.180 0.308 (multiplicity 8)

=====

3.
## Rb4Np3MnSe8 (PBE)

Data for a relaxed Rb4Np3MnSe8 crystal.

## Properties
Uncorrected energy   -6.10 eV/atom
ρ   5.822 Mg/m³

Cell lengths 8.4838, 8.4838, 23.8754 Å; angles 90.00, 90.00, 120.00 degrees
Space group R-3m (No. 166, hexagonal axes)
One atom of each set of equivalent atoms:
1 Rb 0.0000 0.0000 0.0000 (multiplicity 3)
2 Rb 0.0000 0.5000 0.0000 (multiplicity 9)
3 Np 0.0000 0.5000 0.5000 (multiplicity 9)
4 Mn 0.0000 0.0000 0.5000 (multiplicity 3)
5 Se 0.0000 0.0000 0.2319 (multiplicity 6)
6 Se 0.0056 0.5028 0.2301 (multiplicity 18)

=====

Question: What is the uncorrected energy in the first record?
Answer: -6.10 eV/atom